The following is a DFT calculation (PBE) of crystalline CaCrN2 at its relaxed geometry.

Lattice parameters (Å, degrees): 3.688 3.688 7.380 90.00 90.00 90.00
Space group P4/nmm (No. 129, origin choice 2)
One atom of each set of equivalent atoms:
Ca1 0.250 0.250 0.158 (multiplicity 2)
Cr1 0.250 0.250 0.593 (multiplicity 2)
N1 0.250 0.250 0.834 (multiplicity 2)
N2 0.250 0.750 0.500 (multiplicity 2)

Summary:
Total moment   1.9 μB/f.u.
Energy relative to the elements, uncorrected   -3.114 eV/f.u.
Calculated volume   12.550 Å³/atom
Total energy   -7.8473 eV per atom